# 1
! YHo4Ni4, optimized geometry, DFT GGA-PBE; values from VASP
&SYSTEM
  ibrav = 0, nat = 18, ntyp = 3
/
ATOMIC_SPECIES
Ho 164.93 Ho.upf
Ni 58.69 Ni.upf
Y 88.91 Y.upf
CELL_PARAMETERS angstrom
5.5518 0.0000 0.0000
0.0000 8.5457 0.0000
0.0000 0.0000 8.5457
ATOMIC_POSITIONS angstrom
Ho 2.2181 2.7237 7.7985
Ho 0.5578 6.9965 3.5257
Ho 2.2181 5.8220 0.7472
Ho 3.3337 7.7985 5.8220
Ho 4.9940 5.0200 6.9965
Ho 4.9940 3.5257 1.5492
Ho 3.3337 0.7472 2.7237
Ho 0.5578 1.5492 5.0200
Ni 0.6290 7.3940 6.1762
Ni 0.6290 1.1517 2.3695
Ni 2.1469 3.1212 1.9033
Ni 3.4049 6.6424 3.1212
Ni 4.9228 6.1762 1.1517
Ni 4.9228 2.3695 7.3940
Ni 2.1469 5.4246 6.6424
Ni 3.4049 1.9033 5.4246
Y 2.7759 4.2729 4.2729
Y 0.0000 0.0000 0.0000
! Formation enthalpy at 0 K = -235 kJ/mol of formula units
! Space group = P4_2/n
! Magnetization = 0.00 μB per cell
! Volume = 22.52 Å³/atom


# 2
! Y2Ho5Ni2, optimized geometry, DFT GGA-PBE; values from VASP
&SYSTEM
  ibrav = 0, nat = 18, ntyp = 3
/
ATOMIC_SPECIES
Ho 164.93 Ho.upf
Ni 58.69 Ni.upf
Y 88.91 Y.upf
CELL_PARAMETERS angstrom
-0.3833 -6.7296 -1.7411
5.8815 0.5981 -3.6065
5.0454 -5.7695 7.2712
ATOMIC_POSITIONS angstrom
Ho 4.8125 -7.3254 4.3176
Ho 5.7311 -4.5756 -2.3940
Ho 7.8100 -6.0305 2.7720
Ho 5.5131 -10.5995 2.8999
Ho 2.7491 -3.0657 -2.6738
Ho 0.0000 0.0000 0.0000
Ho 2.0331 -2.5964 0.5692
Ho 8.5106 -9.3046 1.3543
Ho 5.0305 -1.3015 -0.9764
Ho 2.7337 -5.8704 -0.8484
Ni 5.0235 -2.0185 -3.8274
Ni 3.3173 -5.5373 -3.7693
Ni 2.1809 -0.5941 -1.5783
Ni 0.4748 -4.1129 -1.5202
Y 5.1744 -4.1794 1.0967
Y 5.3692 -7.7216 0.8269
Y 2.6201 -4.6559 3.5007
Y 2.0420 -7.8432 2.0293
! Formation enthalpy at 0 K = -125 kJ/mol of formula units
! Space group = Cmce
! Magnetization = 0.00 μB per cell
! Volume = 26.72 Å³/atom


# 3
! YHo4Ni2, optimized geometry, DFT GGA-PBE; values from VASP
&SYSTEM
  ibrav = 0, nat = 14, ntyp = 3
/
ATOMIC_SPECIES
Ho 164.93 Ho.upf
Ni 58.69 Ni.upf
Y 88.91 Y.upf
CELL_PARAMETERS angstrom
-2.9631 4.1293 3.8031
-6.6387 -2.8983 -2.0255
3.0275 -3.6135 6.2822
ATOMIC_POSITIONS angstrom
Ho -4.6954 -0.5074 2.1483
Ho -1.2233 1.6227 5.2314
Ho -3.2373 -2.5394 0.2768
Ho -5.1907 -1.4327 5.4578
Ho -1.3836 -0.9498 2.6020
Ho -1.8789 -1.8751 5.9115
Ho -5.3510 -4.0052 2.8284
Ho -3.3370 0.1569 7.7830
Ni -7.1260 0.9285 1.3862
Ni -3.0802 -2.8739 3.3693
Ni 0.5517 -3.3110 6.6736
Ni -3.4941 0.4914 4.6905
Y -3.4318 -4.9577 5.3580
Y -3.1425 2.5752 2.7018
! Formation enthalpy at 0 K = -110 kJ/mol of formula units
! Space group = P2_1/m
! Magnetization = 0.00 μB per cell
! Volume = 24.80 Å³/atom